# 1
VASP calculation (PBE) on a relaxed structure of TiP2OsCl.

abc: 4.5406 4.5406 4.9421
angles: 90.00 90.00 90.00
Last column: nearest neighbours and their distance in Å.
Sites, in units of the cell vectors:
1 P 0.0000 0.5000 0.0000  2 Os 2.27
2 P 0.5000 0.0000 0.0000  2 Os 2.27
3 Cl 0.0000 0.0000 0.5000  2 Os 2.47
4 Os 0.0000 0.0000 0.0000  4 P 2.27, 2 Cl 2.47
5 Ti 0.5000 0.5000 0.5000  4 Cl 3.21, 8 P 3.36

formation energy from raw total energies = 0.67 eV/atom

=====

# 2
VASP calculation (PBE) on a relaxed structure of Ce2PrBi4.

abc: 8.3306 8.3306 8.3306
angles: 109.50 109.41 109.50
Last column: nearest neighbours and their distance in Å.
Sites, in units of the cell vectors:
1 Pr 0.0000 0.0000 0.0000  8 Bi 3.31-3.40
2 Pr 0.7500 0.5000 0.2500  8 Bi 3.31-3.40
3 Bi 0.1314 0.9122 0.3809  4 Ce 3.26-3.37, 2 Pr 3.31-3.40, 2 Bi 3.56-3.60
4 Bi 0.6191 0.7505 0.5313  4 Ce 3.26-3.37, 2 Pr 3.31-3.40, 2 Bi 3.56-3.60
5 Bi 0.9692 0.5878 0.7187  4 Ce 3.26-3.37, 2 Pr 3.31-3.40, 2 Bi 3.56-3.60
6 Bi 0.2813 0.2505 0.8691  4 Ce 3.26-3.37, 2 Pr 3.31-3.40, 2 Bi 3.56-3.60
7 Bi 0.6186 0.7495 0.0308  4 Ce 3.26-3.37, 2 Pr 3.31-3.40, 2 Bi 3.56-3.60
8 Bi 0.7808 0.2495 0.8686  4 Ce 3.26-3.37, 2 Pr 3.31-3.40, 2 Bi 3.56-3.60
9 Bi 0.4687 0.0878 0.2192  4 Ce 3.26-3.37, 2 Pr 3.31-3.40, 2 Bi 3.56-3.60
10 Bi 0.1309 0.4122 0.3814  4 Ce 3.26-3.37, 2 Pr 3.31-3.40, 2 Bi 3.56-3.60
11 Ce 0.8750 0.1227 0.4977  8 Bi 3.26-3.37
12 Ce 0.5023 0.3773 0.6250  8 Bi 3.26-3.37
13 Ce 0.3750 0.8773 0.7523  8 Bi 3.26-3.37
14 Ce 0.2477 0.6227 0.1250  8 Bi 3.26-3.37

formation enthalpy at 0 K = -69.5 kJ per mole of atoms

=====

# 3
VASP calculation (PBE) on a relaxed structure of Cd2Cu2AgAu5.

abc: 4.1529 9.3411 9.3411
angles: 90.00 90.00 90.00
Last column: nearest neighbours and their distance in Å.
Sites, in units of the cell vectors:
1 Cd 0.0000 0.6723 0.1723  3 Cu 2.72-2.79
2 Cd 0.0000 0.3277 0.8277  3 Cu 2.72-2.79
3 Cd 0.0000 0.1723 0.3277  3 Cu 2.72-2.79
4 Cd 0.0000 0.8277 0.6723  3 Cu 2.72-2.79
5 Cu 0.0000 0.1220 0.6220  6 Au 2.63-2.69, 3 Cd 2.72-2.79
6 Cu 0.0000 0.8780 0.3780  6 Au 2.63-2.69, 3 Cd 2.72-2.79
7 Cu 0.0000 0.6220 0.8780  6 Au 2.63-2.69, 3 Cd 2.72-2.79
8 Cu 0.0000 0.3780 0.1220  6 Au 2.63-2.69, 3 Cd 2.72-2.79
9 Ag 0.0000 0.0000 0.0000  8 Au 2.89
10 Ag 0.0000 0.5000 0.5000  8 Au 2.89
11 Au 0.5000 0.1979 0.0856  2 Cu 2.69, 4 Au 2.85-2.93, 2 Ag 2.89
12 Au 0.5000 0.8021 0.9144  2 Cu 2.69, 4 Au 2.85-2.93, 2 Ag 2.89
13 Au 0.5000 0.0856 0.8021  2 Cu 2.69, 4 Au 2.85-2.93, 2 Ag 2.89
14 Au 0.5000 0.6979 0.4144  2 Cu 2.69, 4 Au 2.85-2.93, 2 Ag 2.89
15 Au 0.5000 0.9144 0.1979  2 Cu 2.69, 4 Au 2.85-2.93, 2 Ag 2.89
16 Au 0.5000 0.3021 0.5856  2 Cu 2.69, 4 Au 2.85-2.93, 2 Ag 2.89
17 Au 0.5000 0.5856 0.6979  2 Cu 2.69, 4 Au 2.85-2.93, 2 Ag 2.89
18 Au 0.5000 0.4144 0.3021  2 Cu 2.69, 4 Au 2.85-2.93, 2 Ag 2.89
19 Au 0.5000 0.5000 0.0000  4 Cu 2.63, 4 Au 2.93
20 Au 0.5000 0.0000 0.5000  4 Cu 2.63, 4 Au 2.93

formation enthalpy at 0 K = -6.7 kJ per mole of atoms

=====

# 4
VASP calculation (PBE) on a relaxed structure of La9Tb2Th.

abc: 5.2092 5.2092 15.6179
angles: 90.00 90.00 90.00
Last column: nearest neighbours and their distance in Å.
Sites, in units of the cell vectors:
1 La 0.5000 0.5000 0.0000  8 La 3.64, 4 Th 3.68
2 La 0.5000 0.5000 0.3352  8 La 3.66-3.74, 4 Tb 3.68
3 La 0.5000 0.5000 0.6648  8 La 3.66-3.74, 4 Tb 3.68
4 La 0.5000 0.0000 0.1631  8 La 3.64-3.74, 2 Th 3.64, 2 Tb 3.74
5 La 0.5000 0.0000 0.5000  8 La 3.66-3.68, 4 Tb 3.67
6 La 0.5000 0.0000 0.8369  8 La 3.64-3.74, 2 Th 3.64, 2 Tb 3.74
7 La 0.0000 0.5000 0.1631  8 La 3.64-3.74, 2 Th 3.64, 2 Tb 3.74
8 La 0.0000 0.5000 0.5000  8 La 3.66-3.68, 4 Tb 3.67
9 La 0.0000 0.5000 0.8369  8 La 3.64-3.74, 2 Th 3.64, 2 Tb 3.74
10 Tb 0.0000 0.0000 0.3348  12 La 3.67-3.74
11 Tb 0.0000 0.0000 0.6652  12 La 3.67-3.74
12 Th 0.0000 0.0000 0.0000  12 La 3.64-3.68

formation enthalpy at 0 K = 2.3 kJ per mole of atoms

=====

no.,uncorrected energy (eV/atom)
1,-5.69
2,-5.32
3,-3.00
4,-5.06